# CoBrO2 | Alexandria via LeMat-Bulk | PBE+U | optimized geometry
# energy relative to the lowest polymorph listed for this composition	0.000	eV per atom
# D(E_F)	1.399	states/eV/f.u.
# crystal system	trigonal
data_CoBrO2
_cell_length_a 3.0526
_cell_length_b 3.0526
_cell_length_c 17.6653
_cell_angle_alpha 90.00
_cell_angle_beta 90.00
_cell_angle_gamma 120.00
_symmetry_space_group_name_H-M 'R -3 m'
_symmetry_Int_Tables_number 166
_symmetry_space_group_name_Hall '-R 3 2"'
loop_
_atom_site_label
_atom_site_type_symbol
_atom_site_fract_x
_atom_site_fract_y
_atom_site_fract_z
Co1 Co 0.0000 0.0000 0.0000
Br1 Br 0.0000 0.0000 0.5000
O1 O 0.0000 0.0000 0.3847